The following is a PBE calculation of crystalline La2SmRh at its relaxed geometry, from the Alexandria database.

Unit cell a=6.471 b=7.375 c=10.180 alpha=90.00 beta=90.00 gamma=90.00
Sites, in units of the cell vectors:
La: 0.330 0.171 0.433
La: 0.830 0.329 0.567
La: 0.830 0.329 0.933
La: 0.670 0.829 0.567
La: 0.170 0.671 0.067
La: 0.330 0.171 0.067
La: 0.670 0.829 0.933
La: 0.170 0.671 0.433
Sm: 0.154 0.965 0.750
Sm: 0.346 0.465 0.750
Sm: 0.846 0.035 0.250
Sm: 0.654 0.535 0.250
Rh: 0.075 0.375 0.250
Rh: 0.925 0.625 0.750
Rh: 0.425 0.875 0.250
Rh: 0.575 0.125 0.750

Summary:
The final energy comes out at -94.850 eV/cell. Its energy relative to the lowest polymorph listed for this composition is 0 meV per atom. The symmetry is No. 62.